# Al2PbAu

A geometry-optimized Al2PbAu structure (GGA-PBEsol, Alexandria via LeMat-Bulk).

Values from the calculation:
* crystal system: monoclinic
* space-group type: Pm, No. 6
* total energy: -16.0 eV for the cell shown
* formation enthalpy at 0 K: 27 meV/atom

```
4
Lattice="-0.145 1.371 -3.729 -4.150 1.190 0.599 1.542 3.651 3.431" Properties=species:S:1:pos:R:3 pbc="T T T"
Pb -1.072 3.447 1.586
Au 0.680 2.792 -0.837
Al -0.012 1.648 -3.358
Al -1.796 2.207 -0.968
```